## one
FeGeSbI2 after structural relaxation. Source: the Alexandria database, functional PBE.

Results
N(E_F) in states/eV/f.u.: 7.7
Space group: P4/mmm, No. 123

Geometry as POSCAR:
```
FeGeSbI2
1.0
-4.2710 3.1966 -0.3060
-3.0711 -4.2149 -1.1649
-0.8797 -0.7082 4.8816
I Sb Fe Ge
2 1 1 1
Direct
0.5000 0.0000 0.0000
0.0000 0.5000 0.0000
0.0000 0.0000 0.5000
0.0000 0.0000 0.0000
0.5000 0.5000 0.5000
```

---

## two
FeGeSbI2 after structural relaxation. Source: the Alexandria database, functional PBE.

Results
N(E_F) in states/eV/f.u.: 6.2
Space group: P4/mmm, No. 123

Geometry as POSCAR:
```
FeGeSbI2
1.0
5.5989 0.0000 0.0000
0.0000 5.5989 0.0000
0.0000 0.0000 5.6114
Fe Sb I Ge
1 1 2 1
Direct
0.5000 0.5000 0.5000
0.0000 0.0000 0.5000
0.0000 0.5000 0.0000
0.5000 0.0000 0.0000
0.0000 0.0000 0.0000
```

---

Decreasing stability: one, two

---

## one
FeGeTeI2 after structural relaxation. Source: the Alexandria database, functional PBE.

Results
N(E_F) in states/eV/f.u.: 7.9
Space group: P4/mmm, No. 123

Geometry as POSCAR:
```
FeGeTeI2
1.0
-0.1542 -1.8595 5.3218
5.6306 -0.3090 0.0552
0.2703 5.2544 1.8438
I Te Ge Fe
2 1 1 1
Direct
0.5000 0.0000 0.0000
0.0000 0.5000 0.0000
0.0000 0.0000 0.5000
0.0000 0.0000 0.0000
0.5000 0.5000 0.5000
```

---

## two
FeGeTeI2 after structural relaxation. Source: the Alexandria database, functional PBE.

Results
N(E_F) in states/eV/f.u.: 8.2
Space group: P4/mmm, No. 123

Geometry as POSCAR:
```
FeGeTeI2
1.0
5.2987 0.0000 0.0000
0.0000 5.2987 0.0000
0.0000 0.0000 4.9253
I Fe Te Ge
2 1 1 1
Direct
0.5000 0.0000 0.0000
0.0000 0.5000 0.0000
0.0000 0.0000 0.0000
0.0000 0.0000 0.5000
0.5000 0.5000 0.5000
```

---

Decreasing stability: two, one

---

## one
In3FeGe after structural relaxation. Source: the Alexandria database, functional PBE.

Results
N(E_F) in states/eV/f.u.: 9.3
Space group: Pm-3m, No. 221

Geometry as POSCAR:
```
In3FeGe
1.0
-2.9672 -4.2904 0.9959
4.1292 -2.2918 2.4291
-1.5326 2.1315 4.6164
Ge Fe In
1 1 3
Direct
0.0000 0.0000 0.0000
0.5000 0.5000 0.5000
0.0000 0.5000 0.0000
0.5000 0.0000 0.0000
0.0000 0.0000 0.5000
```

---

## two
In3FeGe after structural relaxation. Source: the Alexandria database, functional PBE.

Results
N(E_F) in states/eV/f.u.: 4.0
Space group: Pm-3m, No. 221

Geometry as POSCAR:
```
In3FeGe
1.0
4.9882 0.0000 0.0000
0.0000 4.9882 0.0000
0.0000 0.0000 4.9882
Ge In Fe
1 3 1
Direct
0.5000 0.5000 0.5000
0.0000 0.0000 0.5000
0.0000 0.5000 0.0000
0.5000 0.0000 0.0000
0.0000 0.0000 0.0000
```

---

Decreasing stability: two, one

---

## one
Fe2Ge2Ir after structural relaxation. Source: the Alexandria database, functional PBE.

Results
N(E_F) in states/eV/f.u.: 4.2
Space group: P4/mbm, No. 127

Geometry as POSCAR:
```
Fe2Ge2Ir
1.0
-0.8669 -5.3647 4.0483
5.8971 -2.5652 -2.1365
1.4006 1.4118 2.1708
Ge Fe Ir
4 4 2
Direct
0.6573 0.1573 0.0000
0.1573 0.3427 0.0000
0.8427 0.6573 0.0000
0.3427 0.8427 0.0000
0.1369 0.6369 0.5000
0.8631 0.3631 0.5000
0.6369 0.8631 0.5000
0.3631 0.1369 0.5000
0.5000 0.5000 0.0000
0.0000 0.0000 0.0000
```

---

## two
Fe2Ge2Ir after structural relaxation. Source: the Alexandria database, functional PBE.

Results
N(E_F) in states/eV/f.u.: 7.2
Space group: I4/mmm, No. 139

Geometry as POSCAR:
```
Fe2Ge2Ir
1.0
-2.1891 -0.6184 -2.7154
2.7849 -0.4765 -2.1366
0.3102 -6.0163 -1.1904
Ge Ir Fe
2 1 2
Direct
0.7500 0.2500 0.5000
0.2500 0.7500 0.5000
0.0000 0.0000 0.0000
0.5980 0.5980 0.8040
0.4020 0.4020 0.1960
```

---

Decreasing stability: one, two

---

## one
KFe3Ge after structural relaxation. Source: the Alexandria database, functional PBE.

Results
N(E_F) in states/eV/f.u.: 3.7
Space group: Pm-3m, No. 221

Geometry as POSCAR:
```
KFe3Ge
1.0
-2.2623 3.1248 2.7293
-4.0177 -0.8743 -2.3292
-1.0352 -3.4355 3.0752
Ge Fe K
1 3 1
Direct
0.0000 0.0000 0.0000
0.5000 0.0000 0.0000
0.0000 0.0000 0.5000
0.0000 0.5000 0.0000
0.5000 0.5000 0.5000
```

---

## two
KFe3Ge after structural relaxation. Source: the Alexandria database, functional PBE.

Results
N(E_F) in states/eV/f.u.: 4.2
Space group: Pm-3m, No. 221

Geometry as POSCAR:
```
KFe3Ge
1.0
-4.4890 0.1500 0.8663
0.2306 -4.1486 1.9132
0.8484 1.9212 4.0637
K Ge Fe
1 1 3
Direct
0.0000 0.0000 0.0000
0.5000 0.5000 0.5000
0.5000 0.0000 0.0000
0.0000 0.0000 0.5000
0.0000 0.5000 0.0000
```

---

Decreasing stability: one, two

---

## one
La3FeGe after structural relaxation. Source: the Alexandria database, functional PBE.

Results
N(E_F) in states/eV/f.u.: 4.1
Space group: I4/m, No. 87

Geometry as POSCAR:
```
La3FeGe
1.0
-0.9108 -2.1240 7.2285
-7.3354 1.9453 0.0105
2.8398 -4.7414 -5.2007
La Ge Fe
6 2 2
Direct
0.3095 0.8366 0.1461
0.2897 0.2897 0.0000
0.6905 0.1634 0.8539
0.7103 0.7103 0.0000
0.1634 0.3095 0.4729
0.8366 0.6905 0.5271
0.7500 0.2500 0.5000
0.2500 0.7500 0.5000
0.0968 0.0968 0.0000
0.9032 0.9032 0.0000
```

---

## two
La3FeGe after structural relaxation. Source: the Alexandria database, functional PBE.

Results
N(E_F) in states/eV/f.u.: 2.6
Space group: Pm-3m, No. 221

Geometry as POSCAR:
```
La3FeGe
1.0
5.1743 0.0000 0.0000
0.0000 5.1743 0.0000
0.0000 0.0000 5.1743
Fe La Ge
1 3 1
Direct
0.0000 0.0000 0.0000
0.5000 0.0000 0.0000
0.0000 0.0000 0.5000
0.0000 0.5000 0.0000
0.5000 0.5000 0.5000
```

---

Decreasing stability: two, one

---

## one
LiFe2Ge2 after structural relaxation. Source: the Alexandria database, functional PBE.

Results
N(E_F) in states/eV/f.u.: 4.8
Space group: P4/mbm, No. 127

Geometry as POSCAR:
```
LiFe2Ge2
1.0
-1.8306 5.8853 3.2069
1.5969 -2.8456 6.1339
2.5362 0.9169 -0.2349
Ge Fe Li
4 4 2
Direct
0.3467 0.8467 0.0000
0.1533 0.3467 0.0000
0.6533 0.1533 0.0000
0.8467 0.6533 0.0000
0.1425 0.6425 0.5000
0.3575 0.1425 0.5000
0.6425 0.8575 0.5000
0.8575 0.3575 0.5000
0.0000 0.0000 0.0000
0.5000 0.5000 0.0000
```

---

## two
LiFe2Ge2 after structural relaxation. Source: the Alexandria database, functional PBE.

Results
N(E_F) in states/eV/f.u.: 1.9
Space group: I4/mmm, No. 139

Geometry as POSCAR:
```
LiFe2Ge2
1.0
3.6634 0.0000 0.0000
0.0000 3.6634 0.0000
1.8317 1.8317 5.5749
Ge Li Fe
2 1 2
Direct
0.3890 0.3890 0.2219
0.6110 0.6110 0.7781
0.0000 0.0000 0.0000
0.2500 0.7500 0.5000
0.7500 0.2500 0.5000
```

---

## three
LiFe2Ge2 after structural relaxation. Source: the Alexandria database, functional PBE.

Results
N(E_F) in states/eV/f.u.: 2.4
Space group: I4/mmm, No. 139

Geometry as POSCAR:
```
LiFe2Ge2
1.0
4.5095 0.0000 0.0000
0.0000 4.5095 0.0000
2.2548 2.2548 3.8367
Fe Li Ge
2 1 2
Direct
0.6426 0.6426 0.7148
0.3574 0.3574 0.2852
0.0000 0.0000 0.0000
0.7500 0.2500 0.5000
0.2500 0.7500 0.5000
```

---

Decreasing stability: one, two, three

---

## one
LiFe3Ge after structural relaxation. Source: the Alexandria database, functional PBE.

Results
N(E_F) in states/eV/f.u.: 7.1
Space group: Pm-3m, No. 221

Geometry as POSCAR:
```
LiFe3Ge
1.0
4.0336 0.0000 0.0000
0.0000 4.0336 0.0000
0.0000 0.0000 4.0336
Li Fe Ge
1 3 1
Direct
0.0000 0.0000 0.0000
0.0000 0.5000 0.0000
0.0000 0.0000 0.5000
0.5000 0.0000 0.0000
0.5000 0.5000 0.5000
```

---

## two
LiFe3Ge after structural relaxation. Source: the Alexandria database, functional PBE.

Results
N(E_F) in states/eV/f.u.: 8.7
Space group: Pm-3m, No. 221

Geometry as POSCAR:
```
LiFe3Ge
1.0
-0.0604 -0.6275 -4.4396
-2.8102 -3.4544 0.5265
-3.4938 2.7894 -0.3468
Ge Li Fe
1 1 3
Direct
0.0000 0.0000 0.0000
0.5000 0.5000 0.5000
0.0000 0.5000 0.0000
0.0000 0.0000 0.5000
0.5000 0.0000 0.0000
```

---

Decreasing stability: two, one